# 1
{"formula": "Na5Tl2Se5", "functional": "PBE", "state": "optimized geometry", "e_form_raw_ev_per_fu": -9.0, "e_tot_ev_per_atom": -3.146, "cell": [[6.920, -2.107, 0.000], [6.920, 2.107, 0.000], [-3.639, 0.000, 11.573]], "species": ["Na", "Na", "Na", "Na", "Na", "Tl", "Tl", "Se", "Se", "Se", "Se", "Se"], "fractional_positions": [[0.000, 0.000, 0.000], [0.156, 0.156, 0.544], [0.238, 0.238, 0.859], [0.762, 0.762, 0.141], [0.844, 0.844, 0.456], [0.457, 0.457, 0.712], [0.543, 0.543, 0.288], [0.187, 0.187, 0.302], [0.389, 0.389, 0.091], [0.500, 0.500, 0.500], [0.611, 0.611, 0.909], [0.813, 0.813, 0.698]]}

***

# 2
{"formula": "NaTlSe2", "functional": "PBE", "state": "optimized geometry", "e_form_raw_ev_per_fu": -1.9, "e_tot_ev_per_atom": -3.140, "cell": [[2.247, 1.297, 7.720], [-2.247, 1.297, 7.720], [0.000, -2.594, 7.720]], "species": ["Na", "Tl", "Se", "Se"], "fractional_positions": [[0.000, 0.000, 0.000], [0.515, 0.515, 0.515], [0.131, 0.131, 0.131], [0.625, 0.625, 0.625]]}

***

# 3
{"formula": "Na2TlSe2", "functional": "PBE", "state": "optimized geometry", "de_polymorph_mev_per_atom": 73, "e_form_raw_ev_per_fu": -3.3, "e_tot_ev_per_atom": -3.047, "cell": [[-3.862, 5.541, 3.522], [3.862, -5.541, 3.522], [3.862, 5.541, -3.522]], "species": ["Na", "Na", "Na", "Na", "Tl", "Tl", "Se", "Se", "Se", "Se"], "fractional_positions": [[0.135, 0.131, 0.267], [0.365, 0.631, 0.996], [0.635, 0.369, 0.004], [0.865, 0.869, 0.733], [0.250, 0.750, 0.500], [0.750, 0.250, 0.500], [0.120, 0.751, 0.871], [0.380, 0.251, 0.631], [0.620, 0.749, 0.369], [0.880, 0.249, 0.129]]}

***

# 4
{"formula": "Na3TlSe3", "functional": "PBE", "state": "optimized geometry", "de_polymorph_mev_per_atom": 0, "e_form_raw_ev_per_fu": -5.3, "e_tot_ev_per_atom": -3.160, "cell": [[8.382, 0.000, 0.000], [0.000, 7.538, 0.000], [-0.691, 0.000, 13.185]], "species": ["Na", "Na", "Na", "Na", "Na", "Na", "Na", "Na", "Na", "Na", "Na", "Na", "Tl", "Tl", "Tl", "Tl", "Se", "Se", "Se", "Se", "Se", "Se", "Se", "Se", "Se", "Se", "Se", "Se"], "fractional_positions": [[0.094, 0.249, 0.109], [0.094, 0.251, 0.609], [0.131, 0.705, 0.654], [0.131, 0.795, 0.154], [0.379, 0.190, 0.836], [0.379, 0.310, 0.336], [0.621, 0.690, 0.664], [0.621, 0.810, 0.164], [0.869, 0.205, 0.846], [0.869, 0.295, 0.346], [0.906, 0.749, 0.391], [0.906, 0.751, 0.891], [0.333, 0.632, 0.932], [0.333, 0.868, 0.432], [0.667, 0.132, 0.568], [0.667, 0.368, 0.068], [0.116, 0.047, 0.316], [0.116, 0.453, 0.816], [0.214, 0.553, 0.463], [0.214, 0.947, 0.963], [0.384, 0.011, 0.632], [0.384, 0.489, 0.132], [0.616, 0.511, 0.868], [0.616, 0.989, 0.368], [0.786, 0.053, 0.037], [0.786, 0.447, 0.537], [0.884, 0.547, 0.184], [0.884, 0.953, 0.684]]}

***

# 5
{"formula": "Na2TlSe2", "functional": "PBE", "state": "optimized geometry", "de_polymorph_mev_per_atom": 71, "e_form_raw_ev_per_fu": -3.3, "e_tot_ev_per_atom": -3.049, "cell": [[8.849, 0.000, 0.000], [0.000, 8.849, 0.000], [0.000, 0.000, 3.174]], "species": ["Na", "Na", "Na", "Na", "Tl", "Tl", "Se", "Se", "Se", "Se"], "fractional_positions": [[0.131, 0.369, 0.000], [0.369, 0.869, 0.000], [0.631, 0.131, 0.000], [0.869, 0.631, 0.000], [0.000, 0.000, 0.500], [0.500, 0.500, 0.500], [0.166, 0.666, 0.500], [0.334, 0.166, 0.500], [0.666, 0.834, 0.500], [0.834, 0.334, 0.500]]}

***

# 6
{"formula": "NaTlSe2", "functional": "PBE", "state": "optimized geometry", "e_form_raw_ev_per_fu": -2.2, "e_tot_ev_per_atom": -3.203, "cell": [[5.861, -5.670, 0.000], [5.861, 5.670, 0.000], [-2.264, 0.000, 14.654]], "species": ["Na", "Na", "Na", "Na", "Na", "Na", "Na", "Na", "Tl", "Tl", "Tl", "Tl", "Tl", "Tl", "Tl", "Tl", "Se", "Se", "Se", "Se", "Se", "Se", "Se", "Se", "Se", "Se", "Se", "Se", "Se", "Se", "Se", "Se"], "fractional_positions": [[0.149, 0.829, 0.891], [0.171, 0.851, 0.609], [0.282, 0.318, 0.863], [0.318, 0.282, 0.363], [0.682, 0.718, 0.637], [0.718, 0.682, 0.137], [0.829, 0.149, 0.391], [0.851, 0.171, 0.109], [0.062, 0.720, 0.356], [0.280, 0.938, 0.144], [0.281, 0.442, 0.141], [0.442, 0.281, 0.641], [0.558, 0.719, 0.359], [0.719, 0.558, 0.859], [0.720, 0.062, 0.856], [0.938, 0.280, 0.644], [0.013, 0.452, 0.234], [0.030, 0.970, 0.250], [0.167, 0.184, 0.529], [0.184, 0.167, 0.029], [0.331, 0.643, 0.466], [0.357, 0.669, 0.034], [0.426, 0.574, 0.750], [0.452, 0.013, 0.734], [0.548, 0.987, 0.266], [0.574, 0.426, 0.250], [0.643, 0.331, 0.966], [0.669, 0.357, 0.534], [0.816, 0.833, 0.971], [0.833, 0.816, 0.471], [0.970, 0.030, 0.750], [0.987, 0.548, 0.766]]}